1.
LiSmLu: relaxed, GGA-PBE.

Cell lengths 3.466, 3.466, 8.307 Å; angles 90.00, 90.00, 120.00 degrees
Fractional coordinates of all 3 atoms:
Lu (0.667, 0.333, 0.328)
Sm (0.333, 0.667, 0.667)
Li (0.000, 0.000, 0.005)

Summary:
Space-group type: No. 156
Polymorph energy (0 for the lowest one): 0.08 eV per formula unit
ΔE_f: 117 meV per atom

2.
LiTlV2Ag: relaxed, GGA-PBE.

Cell lengths 5.265, 5.272, 5.265 Å; angles 90.00, 90.00, 90.00 degrees
Fractional coordinates of all 5 atoms:
Tl (0.000, 0.000, 0.000)
Li (0.500, 0.500, 0.500)
Ag (0.000, 0.500, 0.000)
V (0.000, 0.000, 0.500)
V (0.500, 0.000, 0.000)

Summary:
Space-group type: No. 123
ΔE_f: 1321 meV per atom

3.
La3Ga9Ir2: relaxed, GGA-PBE.

Cell lengths 4.382, 8.400, 8.400 Å; angles 74.08, 74.88, 74.88 degrees
Fractional coordinates of all 14 atoms:
La (0.000, 0.000, 0.000)
La (0.675, 0.325, 0.325)
La (0.325, 0.675, 0.675)
Ga (0.000, 0.500, 0.500)
Ga (0.670, 0.962, 0.697)
Ga (0.330, 0.038, 0.303)
Ga (0.670, 0.697, 0.962)
Ga (0.330, 0.303, 0.038)
Ga (0.878, 0.842, 0.402)
Ga (0.122, 0.158, 0.598)
Ga (0.878, 0.402, 0.842)
Ga (0.122, 0.598, 0.158)
Ir (0.500, 0.267, 0.733)
Ir (0.500, 0.733, 0.267)

Summary:
Space-group type: No. 71
ΔE_f: -621 meV per atom

4.
TbHoAgAu: relaxed, GGA-PBE.

Cell lengths 3.601, 3.601, 7.286 Å; angles 90.00, 90.00, 90.00 degrees
Fractional coordinates of all 4 atoms:
Tb (0.500, 0.500, 0.602)
Ho (0.500, 0.500, 0.112)
Ag (0.000, 0.000, 0.863)
Au (0.000, 0.000, 0.351)

Summary:
Space-group type: No. 99
Polymorph energy (0 for the lowest one): 0.00 eV per formula unit
ΔE_f: -596 meV per atom

5.
HgSe2S6: relaxed, GGA-PBE.

Cell lengths 4.504, 10.543, 16.364 Å; angles 45.75, 47.07, 32.21 degrees
Fractional coordinates of all 9 atoms:
Hg (0.000, 0.000, 0.000)
Se (0.462, 0.716, 0.672)
Se (0.538, 0.284, 0.328)
S (0.960, 0.617, 0.830)
S (0.608, 0.195, 0.484)
S (0.040, 0.383, 0.170)
S (0.461, 0.252, 0.868)
S (0.392, 0.805, 0.516)
S (0.539, 0.748, 0.132)

Summary:
Total DFT energy (no corrections): -3.52 eV/atom
Space-group type: No. 2

Which M_tot belongs to each record? In order, 0.0000; 1.4915; 0.0000; 0.0000; 0.0000 μB/atom.
Which mass density belongs to each record? In order, 6.4; 4.8; 8.4; 11.0; 3.2 Mg/m³.